An optimized crystal structure of GdPuThSc, computed with GGA-PBE.

Cell: 5.4466 5.4466 5.4466 Å, 60.00 60.00 60.00°
With the nearest neighbours (Å) after each atom.
Fractional coordinates of all 4 atoms:
Gd 0.2500 0.2500 0.2500  4 Pu 3.34, 4 Sc 3.34
Sc 0.0000 0.0000 0.0000  4 Th 3.34, 4 Gd 3.34
Pu 0.5000 0.5000 0.5000  4 Gd 3.34, 4 Th 3.34
Th 0.7500 0.7500 0.7500  4 Pu 3.34, 4 Sc 3.34

**VASP energy**: -10.373 eV/atom
**ΔH_f (0 K)**: 0.168 eV per atom
**Space group**: F-43m, No. 216